(1)
Na17CdAg11 (GGA-PBE, relaxed); ΔH_f (0 K) = -0.02 eV/atom
1.0
-9.3445 -1.4410 -2.1744
5.4511 -2.2086 -7.7156
2.4863 -5.7174 7.4307
Ag Na Cd
11 17 1
Direct
0.6318 0.9979 0.8164
0.9979 0.6318 0.8164
0.8163 0.6338 0.9978
0.1820 0.1820 0.8220
0.8174 0.9997 0.6363
0.3639 0.1789 0.3650
0.8181 0.1796 0.1810
0.1796 0.8181 0.1810
0.9997 0.8174 0.6363
0.6338 0.8163 0.9978
0.1789 0.3639 0.3650
0.3093 0.5909 0.0008
0.5909 0.3093 0.0008
0.4140 0.4140 0.7242
0.3396 0.9929 0.9953
0.7361 0.4163 0.4195
0.4163 0.7361 0.4195
0.9943 0.9943 0.9952
0.6979 0.6979 0.2807
0.0002 0.0002 0.3357
0.3057 0.0023 0.5898
0.0024 0.5888 0.3087
0.2744 0.6864 0.6867
0.9929 0.3396 0.9953
0.6581 0.6581 0.6568
0.6864 0.2744 0.6867
0.0023 0.3057 0.5898
0.5888 0.0024 0.3087
0.3708 0.3708 0.1907



(2)
Cs5Te5Pb2 (GGA-PBE, relaxed); formation energy without anion corrections = -0.80 eV per atom
1.0
-2.8791 -4.3674 -0.8310
2.2962 0.0612 8.6029
-11.6909 7.8548 -0.7776
Te Cs Pb
5 5 2
Direct
0.8956 0.7912 0.6322
0.1044 0.2088 0.3678
0.3571 0.7141 0.2110
0.0000 0.0000 0.0000
0.6429 0.2859 0.7890
0.6620 0.3240 0.0721
0.5000 0.0000 0.5000
0.7662 0.5323 0.3675
0.2338 0.4677 0.6325
0.3380 0.6760 0.9279
0.0433 0.0867 0.8012
0.9567 0.9133 0.1988



(3)
ScCdAg2Hg (GGA-PBE, relaxed); ΔH_f (0 K) = 0.64 eV/atom
1.0
-4.8046 -1.2949 -1.8271
-1.3055 -2.1081 4.9271
-1.8550 4.7242 1.5298
Cd Ag Hg Sc
1 2 1 1
Direct
0.5000 0.5000 0.5000
0.5000 0.0000 0.0000
0.0000 0.0000 0.5000
0.0000 0.5000 0.0000
0.0000 0.0000 0.0000



(4)
Y3Ga8Au3 (GGA-PBE, relaxed); energy relative to the lowest polymorph listed for this composition = 0 meV per atom; ΔH_f (0 K) = -0.57 eV/atom
1.0
-3.7242 1.9595 1.1494
-2.7001 -4.2228 6.7283
1.9018 4.6280 6.5506
Au Ga Y
3 8 3
Direct
0.0000 0.5000 0.5000
0.6525 0.7084 0.9866
0.3475 0.2916 0.0134
0.1481 0.1250 0.5788
0.6596 0.9581 0.7228
0.5100 0.2979 0.6821
0.1420 0.5765 0.1394
0.3404 0.0419 0.2772
0.8580 0.4235 0.8606
0.8519 0.8750 0.4212
0.4900 0.7021 0.3179
0.6921 0.3191 0.2966
0.0000 0.0000 0.0000
0.3079 0.6809 0.7034